No. 1
Compound: LaCdAu
Source: Alexandria
Functional: PBE
Structure: relaxed

**Total magnetic moment**: 0.00 μB/f.u.
**Formation energy**: -0.19 eV per atom

Geometry as POSCAR:
```
LaCdAu
1.0
7.230 0.000 0.000
0.000 7.230 0.000
0.000 0.000 7.230
La Cd Au
4 4 4
Direct
0.000 0.000 0.000 La
0.000 0.500 0.500 La
0.500 0.000 0.500 La
0.500 0.500 0.000 La
0.250 0.250 0.750 Cd
0.250 0.750 0.250 Cd
0.750 0.250 0.250 Cd
0.750 0.750 0.750 Cd
0.250 0.250 0.250 Au
0.250 0.750 0.750 Au
0.750 0.250 0.750 Au
0.750 0.750 0.250 Au
```

No. 2
Compound: LaCd2Au3
Source: Alexandria
Functional: PBE
Structure: relaxed

**Total magnetic moment**: 0.00 μB/f.u.
**Formation energy**: -0.51 eV per atom

Geometry as POSCAR:
```
LaCd2Au3
1.0
4.856 0.000 0.000
-2.428 4.205 0.000
0.000 0.000 13.305
La Cd Au
2 4 6
Direct
0.000 0.000 0.250 La
0.000 0.000 0.750 La
0.333 0.667 0.080 Cd
0.333 0.667 0.420 Cd
0.667 0.333 0.580 Cd
0.667 0.333 0.920 Cd
0.000 0.000 0.000 Au
0.000 0.000 0.500 Au
0.333 0.667 0.639 Au
0.333 0.667 0.861 Au
0.667 0.333 0.139 Au
0.667 0.333 0.361 Au
```

No. 3
Compound: LaCd6Au12
Source: Alexandria
Functional: PBE
Structure: relaxed

**Total magnetic moment**: 0.00 μB/f.u.
**Formation energy**: -0.18 eV per atom

Geometry as POSCAR:
```
LaCd6Au12
1.0
6.111 3.528 3.195
-6.111 3.528 3.195
0.000 -7.056 3.195
La Cd Au
1 6 12
Direct
0.000 0.000 0.000 La
0.296 0.296 0.690 Cd
0.296 0.690 0.296 Cd
0.310 0.704 0.704 Cd
0.690 0.296 0.296 Cd
0.704 0.310 0.704 Cd
0.704 0.704 0.310 Cd
0.101 0.348 0.348 Au
0.113 0.500 0.887 Au
0.113 0.887 0.500 Au
0.348 0.101 0.348 Au
0.348 0.348 0.101 Au
0.500 0.113 0.887 Au
0.500 0.887 0.113 Au
0.652 0.652 0.899 Au
0.652 0.899 0.652 Au
0.887 0.113 0.500 Au
0.887 0.500 0.113 Au
0.899 0.652 0.652 Au
```

No. 4
Compound: La4CdAu
Source: Alexandria
Functional: PBE
Structure: relaxed

**Total magnetic moment**: 1.16 μB/f.u.
**Formation energy**: -0.33 eV per atom

Geometry as POSCAR:
```
La4CdAu
1.0
5.472 0.000 0.000
0.000 12.601 0.000
0.000 0.000 5.480
La Cd Au
8 2 2
Direct
0.000 0.148 0.000 La
0.000 0.350 0.500 La
0.000 0.650 0.500 La
0.000 0.852 0.000 La
0.500 0.150 0.500 La
0.500 0.352 0.000 La
0.500 0.648 0.000 La
0.500 0.850 0.500 La
0.000 0.000 0.500 Cd
0.500 0.500 0.500 Cd
0.000 0.500 0.000 Au
0.500 0.000 0.000 Au
```